# 1
{"formula": "DyHoMg17", "functional": "PBE", "state": "optimized geometry", "m_tot_mub_per_atom": 0.00, "space_group": "R3m, No. 160", "vol_a3_per_atom": 24.094, "e_form_ev_per_atom": -0.009, "lattice": [[5.103, 2.946, 5.075], [-5.103, 2.946, 5.075], [0.000, -5.892, 5.075]], "species": ["Dy", "Ho", "Mg", "Mg", "Mg", "Mg", "Mg", "Mg", "Mg", "Mg", "Mg", "Mg", "Mg", "Mg", "Mg", "Mg", "Mg", "Mg", "Mg"], "fractional_positions": [[0.000, 0.000, 0.000], [0.344, 0.344, 0.344], [0.026, 0.026, 0.511], [0.026, 0.511, 0.026], [0.171, 0.672, 0.672], [0.318, 0.318, 0.831], [0.318, 0.831, 0.318], [0.368, 0.672, 0.976], [0.368, 0.976, 0.672], [0.511, 0.026, 0.026], [0.572, 0.572, 0.572], [0.672, 0.171, 0.672], [0.672, 0.368, 0.976], [0.672, 0.672, 0.171], [0.672, 0.976, 0.368], [0.771, 0.771, 0.771], [0.831, 0.318, 0.318], [0.976, 0.368, 0.672], [0.976, 0.672, 0.368]]}



# 2
{"formula": "Dy2Ho2Mg5", "functional": "PBE", "state": "optimized geometry", "m_tot_mub_per_atom": 0.00, "space_group": "Ima2, No. 46", "vol_a3_per_atom": 27.615, "e_form_ev_per_atom": 0.085, "lattice": [[-6.986, 5.622, 3.164], [6.986, -5.622, 3.164], [6.986, 5.622, -3.164]], "species": ["Dy", "Dy", "Dy", "Dy", "Ho", "Ho", "Ho", "Ho", "Mg", "Mg", "Mg", "Mg", "Mg", "Mg", "Mg", "Mg", "Mg", "Mg"], "fractional_positions": [[0.000, 0.000, 0.000], [0.000, 0.500, 0.500], [0.054, 0.815, 0.739], [0.076, 0.315, 0.261], [0.528, 0.154, 0.621], [0.528, 0.407, 0.874], [0.533, 0.654, 0.126], [0.533, 0.907, 0.379], [0.055, 0.169, 0.596], [0.055, 0.959, 0.386], [0.161, 0.649, 0.011], [0.467, 0.163, 0.187], [0.467, 0.780, 0.805], [0.573, 0.459, 0.404], [0.573, 0.669, 0.614], [0.638, 0.149, 0.989], [0.975, 0.280, 0.813], [0.975, 0.663, 0.195]]}